Here is a geometry-optimized Dy15ErSc4 structure from Alexandria via LeMat-Bulk. Energies are from PBE.

abc: 4.931 4.931 24.573
angles: 90.00 90.00 90.00
Space group P4/mmm (No. 123)
Unique sites:
Dy: 0.000 0.000 0.000 (multiplicity 1)
Dy: 0.000 0.000 0.202 (multiplicity 2)
Dy: 0.000 0.000 0.401 (multiplicity 2)
Dy: 0.000 0.500 0.103 (multiplicity 4)
Dy: 0.000 0.500 0.301 (multiplicity 4)
Dy: 0.000 0.500 0.500 (multiplicity 2)
Er: 0.500 0.500 0.000 (multiplicity 1)
Sc: 0.500 0.500 0.202 (multiplicity 2)
Sc: 0.500 0.500 0.401 (multiplicity 2)

Values from the calculation:
- ΔH_f (0 K) (eV per atom) = 0.035

***

Here is a geometry-optimized Dy8ErSc5 structure from Alexandria via LeMat-Bulk. Energies are from PBE.

abc: 9.253 9.253 9.810
angles: 90.00 90.00 90.00
Space group I-4 (No. 82)
Unique sites:
Dy: 0.070 0.326 0.406 (multiplicity 8)
Dy: 0.093 0.171 0.749 (multiplicity 8)
Er: 0.000 0.500 0.750 (multiplicity 2)
Sc: 0.000 0.000 0.500 (multiplicity 2)
Sc: 0.109 0.203 0.072 (multiplicity 8)

Values from the calculation:
- ΔH_f (0 K) (eV per atom) = 0.263

***

Here is a geometry-optimized Dy3Er12Sc structure from Alexandria via LeMat-Bulk. Energies are from PBE.

abc: 4.951 4.951 19.766
angles: 90.00 90.00 90.00
Space group P4/mmm (No. 123)
Unique sites:
Dy: 0.000 0.000 0.000 (multiplicity 1)
Dy: 0.000 0.000 0.252 (multiplicity 2)
Er: 0.000 0.500 0.126 (multiplicity 4)
Er: 0.000 0.500 0.379 (multiplicity 4)
Er: 0.500 0.500 0.000 (multiplicity 1)
Er: 0.500 0.500 0.253 (multiplicity 2)
Er: 0.500 0.500 0.500 (multiplicity 1)
Sc: 0.000 0.000 0.500 (multiplicity 1)

Values from the calculation:
- ΔH_f (0 K) (eV per atom) = 0.027

***

Here is a geometry-optimized Dy2ErSc7 structure from Alexandria via LeMat-Bulk. Energies are from PBE.

abc: 3.346 8.849 9.421
angles: 74.42 89.97 79.17
Space group P-1 (No. 2)
Unique sites:
Dy: 0.199 0.101 0.105 (multiplicity 2)
Er: 0.000 0.500 0.000 (multiplicity 1)
Sc: 0.000 0.500 0.500 (multiplicity 1)
Sc: 0.199 0.103 0.594 (multiplicity 2)
Sc: 0.401 0.698 0.209 (multiplicity 2)
Sc: 0.402 0.698 0.691 (multiplicity 2)

Values from the calculation:
- ΔH_f (0 K) (eV per atom) = 0.055
- energy above the most stable polymorph in this dataset (meV/atom) = 0

***

Here is a geometry-optimized DyErSc structure from Alexandria via LeMat-Bulk. Energies are from PBE.

abc: 3.453 3.453 14.466
angles: 90.00 90.00 90.00
Space group P4/nmm (No. 129, origin choice 2)
Unique sites:
Dy: 0.250 0.250 0.088 (multiplicity 2)
Er: 0.250 0.250 0.736 (multiplicity 2)
Sc: 0.250 0.250 0.426 (multiplicity 2)

Values from the calculation:
- ΔH_f (0 K) (eV per atom) = 0.047
- energy above the most stable polymorph in this dataset (meV/atom) = 2

***

Here is a geometry-optimized Dy3Er2Sc2 structure from Alexandria via LeMat-Bulk. Energies are from PBE.

abc: 5.165 23.179 3.424
angles: 90.00 90.00 90.00
Space group Cmmm (No. 65)
Unique sites:
Dy: 0.000 0.000 0.000 (multiplicity 2)
Dy: 0.000 0.156 0.000 (multiplicity 4)
Er: 0.000 0.425 0.500 (multiplicity 4)
Sc: 0.000 0.284 0.500 (multiplicity 4)

Values from the calculation:
- ΔH_f (0 K) (eV per atom) = 0.038
- energy above the most stable polymorph in this dataset (meV/atom) = 0

***

Here is a geometry-optimized Dy4ErSc2 structure from Alexandria via LeMat-Bulk. Energies are from PBE.

abc: 7.511 7.511 7.791
angles: 90.00 90.00 90.00
Space group P4/mmm (No. 123)
Unique sites:
Dy: 0.243 0.243 0.232 (multiplicity 8)
Er: 0.500 0.500 0.000 (multiplicity 1)
Er: 0.500 0.500 0.500 (multiplicity 1)
Sc: 0.000 0.000 0.000 (multiplicity 1)
Sc: 0.000 0.000 0.500 (multiplicity 1)
Sc: 0.000 0.500 0.500 (multiplicity 2)

Values from the calculation:
- ΔH_f (0 K) (eV per atom) = 0.305
- energy above the most stable polymorph in this dataset (meV/atom) = 158

***

Here is a geometry-optimized Dy4Er7Sc structure from Alexandria via LeMat-Bulk. Energies are from PBE.

abc: 11.877 5.728 12.608
angles: 90.00 117.67 90.00
Space group C2/m (No. 12)
Unique sites:
Dy: 0.139 0.000 0.275 (multiplicity 4)
Dy: 0.218 0.500 0.168 (multiplicity 4)
Er: 0.000 0.000 0.500 (multiplicity 2)
Er: 0.074 0.500 0.801 (multiplicity 4)
Er: 0.133 0.000 0.993 (multiplicity 4)
Er: 0.207 0.500 0.426 (multiplicity 4)
Sc: 0.000 0.500 0.500 (multiplicity 2)

Values from the calculation:
- ΔH_f (0 K) (eV per atom) = 0.289
- energy above the most stable polymorph in this dataset (meV/atom) = 187

***

Here is a geometry-optimized Dy11Er9Sc4 structure from Alexandria via LeMat-Bulk. Energies are from PBE.

abc: 16.439 24.876 3.547
angles: 90.00 90.00 90.00
Space group Cmmm (No. 65)
Unique sites:
Dy: 0.000 0.000 0.000 (multiplicity 2)
Dy: 0.000 0.160 0.000 (multiplicity 4)
Dy: 0.000 0.370 0.000 (multiplicity 4)
Dy: 0.202 0.500 0.000 (multiplicity 4)
Dy: 0.226 0.180 0.000 (multiplicity 8)
Er: 0.000 0.500 0.500 (multiplicity 2)
Er: 0.103 0.269 0.500 (multiplicity 8)
Er: 0.145 0.072 0.500 (multiplicity 8)
Sc: 0.156 0.398 0.500 (multiplicity 8)

Values from the calculation:
- ΔH_f (0 K) (eV per atom) = 0.044

***

Here is a geometry-optimized Dy8Er2Sc3 structure from Alexandria via LeMat-Bulk. Energies are from PBE.

abc: 14.542 8.729 6.538
angles: 90.00 98.75 90.00
Space group C2/m (No. 12)
Unique sites:
Dy: 0.088 0.000 0.385 (multiplicity 4)
Dy: 0.111 0.183 0.929 (multiplicity 8)
Dy: 0.193 0.500 0.296 (multiplicity 4)
Er: 0.199 0.500 0.788 (multiplicity 4)
Sc: 0.000 0.336 0.500 (multiplicity 4)
Sc: 0.000 0.500 0.000 (multiplicity 2)

Values from the calculation:
- ΔH_f (0 K) (eV per atom) = 0.256
- energy above the most stable polymorph in this dataset (meV/atom) = 64

***

Here is a geometry-optimized DyEr6Sc3 structure from Alexandria via LeMat-Bulk. Energies are from PBE.

abc: 10.359 18.454 6.105
angles: 90.00 90.00 90.00
Space group Cmc2_1 (No. 36)
Unique sites:
Dy: 0.000 0.210 0.000 (multiplicity 4)
Er: 0.000 0.047 0.315 (multiplicity 4)
Er: 0.000 0.303 0.523 (multiplicity 4)
Er: 0.167 0.461 0.661 (multiplicity 8)
Er: 0.240 0.205 0.333 (multiplicity 8)
Sc: 0.000 0.386 0.075 (multiplicity 4)
Sc: 0.188 0.112 0.757 (multiplicity 8)

Values from the calculation:
- ΔH_f (0 K) (eV per atom) = 0.166
- energy above the most stable polymorph in this dataset (meV/atom) = 41

***

Here is a geometry-optimized Dy3Er7Sc structure from Alexandria via LeMat-Bulk. Energies are from PBE.

abc: 6.711 5.383 9.765
angles: 90.00 104.22 90.00
Space group P2/m (No. 10)
Unique sites:
Dy: 0.000 0.000 0.000 (multiplicity 1)
Dy: 0.269 0.500 0.479 (multiplicity 2)
Er: 0.000 0.000 0.500 (multiplicity 1)
Er: 0.165 0.500 0.785 (multiplicity 2)
Er: 0.315 0.500 0.124 (multiplicity 2)
Er: 0.463 0.000 0.327 (multiplicity 2)
Sc: 0.500 0.000 0.000 (multiplicity 1)

Values from the calculation:
- ΔH_f (0 K) (eV per atom) = 0.160
- energy above the most stable polymorph in this dataset (meV/atom) = 0

***

Here is a geometry-optimized DyEr9Sc2 structure from Alexandria via LeMat-Bulk. Energies are from PBE.

abc: 10.9478 10.9478 3.4309
angles: 90.00 90.00 120.00
Space group P6/mmm (No. 191)
Unique sites:
Dy: 0.0000 0.0000 0.0000 (multiplicity 1)
Er: 0.0000 0.5000 0.0000 (multiplicity 3)
Er: 0.1792 0.3583 0.5000 (multiplicity 6)
Sc: 0.3333 0.6667 0.0000 (multiplicity 2)

Values from the calculation:
- ΔH_f (0 K) (eV per atom) = 0.045
- energy above the most stable polymorph in this dataset (meV/atom) = 8

***

Here is a geometry-optimized Dy4Er2Sc5 structure from Alexandria via LeMat-Bulk. Energies are from PBE.

abc: 22.651 3.353 8.358
angles: 90.00 93.09 90.00
Space group C2/m (No. 12)
Unique sites:
Dy: 0.045 0.000 0.337 (multiplicity 4)
Dy: 0.088 0.500 0.697 (multiplicity 4)
Er: 0.228 0.500 0.824 (multiplicity 4)
Sc: 0.000 0.500 0.000 (multiplicity 2)
Sc: 0.129 0.000 0.036 (multiplicity 4)
Sc: 0.188 0.000 0.479 (multiplicity 4)

Values from the calculation:
- ΔH_f (0 K) (eV per atom) = 0.142
- energy above the most stable polymorph in this dataset (meV/atom) = 91

***

Here is a geometry-optimized Dy5ErSc3 structure from Alexandria via LeMat-Bulk. Energies are from PBE.

abc: 14.539 11.135 9.507
angles: 90.00 129.53 90.00
Space group C2/m (No. 12)
Unique sites:
Dy: 0.000 0.245 0.000 (multiplicity 4)
Dy: 0.139 0.247 0.740 (multiplicity 8)
Dy: 0.218 0.500 0.033 (multiplicity 4)
Dy: 0.222 0.000 0.235 (multiplicity 4)
Er: 0.246 0.000 0.597 (multiplicity 4)
Sc: 0.000 0.000 0.500 (multiplicity 2)
Sc: 0.000 0.500 0.000 (multiplicity 2)
Sc: 0.012 0.000 0.821 (multiplicity 4)
Sc: 0.021 0.500 0.364 (multiplicity 4)

Values from the calculation:
- ΔH_f (0 K) (eV per atom) = 0.480

***

Here is a geometry-optimized Dy6ErSc2 structure from Alexandria via LeMat-Bulk. Energies are from PBE.

abc: 21.197 9.480 5.504
angles: 90.00 105.00 90.00
Space group C2/c (No. 15)
Unique sites:
Dy: 0.086 0.083 0.325 (multiplicity 8)
Dy: 0.086 0.417 0.349 (multiplicity 8)
Dy: 0.170 0.250 0.920 (multiplicity 8)
Er: 0.000 0.250 0.750 (multiplicity 4)
Sc: 0.250 0.083 0.509 (multiplicity 8)

Values from the calculation:
- ΔH_f (0 K) (eV per atom) = 0.076
- energy above the most stable polymorph in this dataset (meV/atom) = 0

***

Here is a geometry-optimized Dy3Er2Sc2 structure from Alexandria via LeMat-Bulk. Energies are from PBE.

abc: 16.839 3.397 8.280
angles: 90.00 119.03 90.00
Space group C2/m (No. 12)
Unique sites:
Dy: 0.000 0.000 0.000 (multiplicity 2)
Dy: 0.212 0.000 0.303 (multiplicity 4)
Er: 0.142 0.000 0.815 (multiplicity 4)
Sc: 0.064 0.500 0.411 (multiplicity 4)

Values from the calculation:
- ΔH_f (0 K) (eV per atom) = 0.127
- energy above the most stable polymorph in this dataset (meV/atom) = 89

***

Here is a geometry-optimized Dy6Er12Sc structure from Alexandria via LeMat-Bulk. Energies are from PBE.

abc: 12.9498 12.9498 12.5035
angles: 90.00 90.00 120.00
Space group R-3m (No. 166, hexagonal axes)
Unique sites:
Dy: 0.0443 0.5221 0.1173 (multiplicity 18)
Er: 0.0000 0.2574 0.0000 (multiplicity 18)
Er: 0.0903 0.1805 0.7639 (multiplicity 18)
Sc: 0.0000 0.0000 0.5000 (multiplicity 3)

Values from the calculation:
- ΔH_f (0 K) (eV per atom) = 0.222
- energy above the most stable polymorph in this dataset (meV/atom) = 47

***

Here is a geometry-optimized Dy7Er2Sc structure from Alexandria via LeMat-Bulk. Energies are from PBE.

abc: 8.684 17.160 5.029
angles: 90.00 90.00 90.00
Space group Cmmm (No. 65)
Unique sites:
Dy: 0.000 0.000 0.000 (multiplicity 2)
Dy: 0.000 0.308 0.500 (multiplicity 4)
Dy: 0.179 0.396 0.000 (multiplicity 8)
Er: 0.000 0.202 0.000 (multiplicity 4)
Sc: 0.000 0.500 0.500 (multiplicity 2)

Values from the calculation:
- ΔH_f (0 K) (eV per atom) = 0.703

***

How do the records compare in N(E_F)? In the order shown, they have 28.95, 22.48, 21.64, 17.39, 4.95, 11.14, 11.26, 20.39, 33.02, 20.20, 13.29, 16.62, 18.70, 18.51, 12.95, 16.31, 11.98, 33.05, 11.73 states/eV/f.u..